LuFeNiSb (PBE, relaxed); crystal system = cubic; E above lowest polymorph = 0.000 eV per atom
1.0
0.0000 3.1921 3.1921
3.1921 0.0000 3.1921
3.1921 3.1921 0.0000
Fe Lu Ni Sb
1 1 1 1
Cartesian
4.7882 4.7882 4.7882
3.1921 3.1921 3.1921
1.5960 1.5960 1.5960
0.0000 0.0000 0.0000

LuFeNiSb (PBE, relaxed); crystal system = cubic; E above lowest polymorph = 0.345 eV per atom
1.0
0.0000 3.2882 3.2882
3.2882 0.0000 3.2882
3.2882 3.2882 0.0000
Fe Lu Ni Sb
1 1 1 1
Cartesian
3.2883 3.2883 3.2883
1.6441 1.6441 1.6441
4.9324 4.9324 4.9324
0.0000 0.0000 0.0000

LuTlFeNi (PBE, relaxed); crystal system = cubic; E above lowest polymorph = 0.186 eV per atom
1.0
0.0000 3.3034 3.3034
3.3034 0.0000 3.3034
3.3034 3.3034 0.0000
Fe Lu Ni Tl
1 1 1 1
Cartesian
3.3034 3.3034 3.3034
1.6517 1.6517 1.6517
4.9551 4.9551 4.9551
0.0000 0.0000 0.0000

Among the records above, which one has the lowest E above lowest polymorph? number 1